Crystalline GaReW3 at its relaxed geometry. Source: Alexandria via LeMat-Bulk, functional GGA-PBE.

Cell: 4.4996 4.4996 4.4996 Å, 90.00 90.00 90.00°
Last column: nearest neighbours and their distance in Å.
Space group Pm-3m (No. 221)
Unique sites:
Ga  0.0000  0.0000  0.0000  6 W 2.25
Re  0.5000  0.5000  0.5000  12 W 3.18
W  0.0000  0.0000  0.5000  2 Ga 2.25

DOS at the Fermi energy in states/eV/cell: 5.3
Excess energy over the best structure of this formula in the dataset in meV/atom: 0

***

Crystalline Y2GaRe4 at its relaxed geometry. Source: Alexandria via LeMat-Bulk, functional GGA-PBE.

Cell: 4.5905 4.5905 14.4661 Å, 90.00 90.00 90.00°
Last column: nearest neighbours and their distance in Å.
Space group I4/mmm (No. 139)
Unique sites:
Y  0.0000  0.0000  0.1368  5 Re 2.91-3.03
Ga  0.0000  0.0000  0.5000  6 Re 2.30-2.35
Re  0.0000  0.0000  0.3376  1 Ga 2.35
Re  0.0000  0.5000  0.0000  2 Ga 2.30

DOS at the Fermi energy in states/eV/cell: 21.5

***

Crystalline Y4Ga12Re at its relaxed geometry. Source: Alexandria via LeMat-Bulk, functional GGA-PBE.

Cell: 8.6518 8.6518 8.6518 Å, 90.00 90.00 90.00°
Last column: nearest neighbours and their distance in Å.
Space group Im-3m (No. 229)
Unique sites:
Y  0.2500  0.2500  0.2500  12 Ga 3.06-3.08
Ga  0.0000  0.0000  0.2921  1 Re 2.53, 4 Ga 2.81
Ga  0.0000  0.2500  0.5000  8 Ga 2.81-3.06, 4 Y 3.06
Re  0.0000  0.0000  0.0000  6 Ga 2.53

DOS at the Fermi energy in states/eV/cell: 19.6

***

Crystalline YGa2Re at its relaxed geometry. Source: Alexandria via LeMat-Bulk, functional GGA-PBE.

Cell: 6.5619 6.5619 6.5619 Å, 90.00 90.00 90.00°
Last column: nearest neighbours and their distance in Å.
Space group Fm-3m (No. 225)
Unique sites:
Y  0.0000  0.0000  0.0000  8 Ga 2.84
Ga  0.2500  0.2500  0.2500  4 Re 2.84, 4 Y 2.84
Re  0.0000  0.0000  0.5000  8 Ga 2.84

DOS at the Fermi energy in states/eV/cell: 16.3
Excess energy over the best structure of this formula in the dataset in meV/atom: 0

***

| no. | VASP energy (eV for the cell shown) | magnetic moment (μB per cell) | formation enthalpy at 0 K (eV per formula unit) |
| --- | --- | --- | --- |
| 1 | -44.4 | 0.00 | 10.0 |
| 2 | -111.2 | 3.70 | 10.1 |
| 3 | -166.6 | 0.00 | -8.7 |
| 4 | -101.4 | 0.00 | -0.4 |